Compound: PrSm2DyHo5
Source: the Alexandria database
Functional: GGA-PBE
Structure: optimized geometry

Summary:
Crystal system: tetragonal
Volume in Å³ per atom: 32.61
Calculated total energy in eV per atom: -4.37

abc: 8.777 8.777 9.827
angles: 116.52 116.52 90.00
Sites, in units of the cell vectors:
Dy (0.750, 0.250, 0.500)
Ho (0.573, 0.656, 0.729)
Pr (0.750, 0.750, 0.500)
Sm (0.116, 0.384, 0.000)
Ho (0.500, 0.500, 0.000)
Dy (0.250, 0.750, 0.500)
Sm (0.616, 0.116, 0.000)
Ho (0.844, 0.927, 0.271)
Pr (0.250, 0.250, 0.500)
Ho (0.156, 0.073, 0.729)
Sm (0.384, 0.884, 0.000)
Ho (0.427, 0.344, 0.271)
Ho (0.927, 0.427, 0.271)
Ho (0.344, 0.844, 0.271)
Ho (0.656, 0.156, 0.729)
Ho (0.073, 0.573, 0.729)
Ho (0.000, 0.000, 0.000)
Sm (0.884, 0.616, 0.000)